No. 1
VASP calculation (PBE-GGA) on a relaxed BaP5 crystal.

Values from the calculation:
The calculation puts the total energy at -30.2 eV per cell.

abc: 6.673 6.673 4.709
angles: 90.00 90.00 140.60
Fractional coordinates of all 6 atoms:
P1 0.237 0.763 0.000
P2 0.717 0.283 0.500
P3 0.454 0.546 0.500
Ba1 0.959 0.041 0.000
P4 0.684 0.316 0.000
P5 0.282 0.718 0.500

No. 2
VASP calculation (PBE-GGA) on a relaxed BaP crystal.

Values from the calculation:
The calculation puts the total energy at -47.2 eV per cell.

abc: 8.858 8.858 8.858
angles: 90.00 90.00 90.00
Fractional coordinates of all 12 atoms:
P1 0.000 0.500 0.250
Ba1 0.000 0.250 0.500
Ba2 0.250 0.500 0.000
Ba3 0.000 0.750 0.500
Ba4 0.750 0.500 0.000
Ba5 0.500 0.000 0.750
P2 0.750 0.000 0.500
P3 0.500 0.250 0.000
P4 0.250 0.000 0.500
P5 0.500 0.750 0.000
P6 0.000 0.500 0.750
Ba6 0.500 0.000 0.250

No. 3
VASP calculation (PBE-GGA) on a relaxed BaP crystal.

Values from the calculation:
The calculation puts the total energy at -62.7 eV per cell.

abc: 9.819 9.819 9.819
angles: 90.00 90.00 90.00
Fractional coordinates of all 16 atoms:
Ba1 0.670 0.330 0.670
Ba2 0.330 0.670 0.670
Ba3 0.670 0.670 0.330
P1 0.648 0.352 0.352
Ba4 0.170 0.170 0.830
P2 0.352 0.352 0.648
Ba5 0.830 0.170 0.170
P3 0.852 0.852 0.148
P4 0.148 0.852 0.852
Ba6 0.330 0.330 0.330
Ba7 0.830 0.830 0.830
P5 0.352 0.648 0.352
Ba8 0.170 0.830 0.170
P6 0.648 0.648 0.648
P7 0.148 0.148 0.148
P8 0.852 0.148 0.852

No. 4
VASP calculation (PBE-GGA) on a relaxed Ba7P6 crystal.

Values from the calculation:
The calculation puts the total energy at -49.6 eV per cell.

abc: 11.383 11.383 11.383
angles: 39.40 39.40 39.40
Fractional coordinates of all 13 atoms:
Ba1 0.054 0.576 0.576
P1 0.114 0.114 0.114
Ba2 0.500 0.500 0.500
Ba3 0.576 0.054 0.576
P2 0.818 0.818 0.818
Ba4 0.424 0.946 0.424
P3 0.336 0.336 0.336
P4 0.182 0.182 0.182
P5 0.886 0.886 0.886
P6 0.664 0.664 0.664
Ba5 0.576 0.576 0.054
Ba6 0.424 0.424 0.946
Ba7 0.946 0.424 0.424

No. 5
VASP calculation (PBE-GGA) on a relaxed BaP crystal.

Values from the calculation:
The calculation puts the total energy at -16.7 eV per cell.

abc: 6.645 6.645 6.645
angles: 139.59 139.59 58.48
Fractional coordinates of all 4 atoms:
P1 0.500 0.500 0.000
P2 0.250 0.750 0.500
Ba1 0.750 0.250 0.500
Ba2 0.000 0.000 0.000

No. 6
VASP calculation (PBE-GGA) on a relaxed BaP5 crystal.

Values from the calculation:
The calculation puts the total energy at -62.7 eV per cell.

abc: 5.544 5.802 9.776
angles: 90.00 90.00 104.08
Fractional coordinates of all 12 atoms:
P1 0.317 0.934 0.750
Ba1 0.057 0.375 0.750
P2 0.396 0.040 0.092
P3 0.604 0.960 0.592
P4 0.604 0.960 0.908
P5 0.660 0.597 0.945
Ba2 0.943 0.625 0.250
P6 0.340 0.403 0.055
P7 0.660 0.597 0.555
P8 0.683 0.066 0.250
P9 0.396 0.040 0.408
P10 0.340 0.403 0.445

No. 7
VASP calculation (PBE-GGA) on a relaxed Ba3P4 crystal.

Values from the calculation:
The calculation puts the total energy at -68.1 eV per cell.

abc: 11.883 9.726 8.128
angles: 82.93 54.31 42.75
Fractional coordinates of all 14 atoms:
Ba1 0.582 0.080 0.409
Ba2 0.929 0.409 0.081
Ba3 0.503 0.997 0.996
Ba4 0.254 0.746 0.746
P1 0.075 0.430 0.580
P2 0.914 0.581 0.430
P3 0.444 0.707 0.249
Ba5 0.841 0.321 0.668
P4 0.001 0.651 0.806
P5 0.599 0.249 0.707
P6 0.542 0.806 0.651
P7 0.670 0.336 0.175
Ba6 0.170 0.668 0.321
P8 0.820 0.175 0.336

No. 8
VASP calculation (PBE-GGA) on a relaxed BaP3 crystal.

Values from the calculation:
The calculation puts the total energy at -11.8 eV per cell.

abc: 6.650 6.650 6.650
angles: 90.00 90.00 90.00
Fractional coordinates of all 4 atoms:
P1 0.500 0.000 0.000
P2 0.000 0.000 0.500
Ba1 0.000 0.000 0.000
P3 0.000 0.500 0.000